Entry 1:
Computed, not measured: a geometry-optimized Sc3IrBr3 structure at the PBE-GGA level of DFT.

Formation energy from raw total energies in eV per atom: -1.31

CIF file:
```
data_Sc3IrBr3
_chemical_formula_sum 'Sc6 Ir2 Br6'
_symmetry_space_group_name_H-M 'P 1 21/m 1'
_symmetry_Int_Tables_number 11
_symmetry_space_group_name_Hall '-P 2yb'
_cell_length_a 8.123
_cell_length_b 3.926
_cell_length_c 11.263
_cell_angle_alpha 90.00
_cell_angle_beta 92.28
_cell_angle_gamma 90.00
loop_
_atom_site_label
_atom_site_type_symbol
_atom_site_fract_x
_atom_site_fract_y
_atom_site_fract_z
_atom_site_occupancy
Sc1 Sc 0.097 0.250 0.320 1
Sc2 Sc 0.152 0.250 0.860 1
Sc3 Sc 0.260 0.750 0.100 1
Ir1 Ir 0.050 0.250 0.094 1
Br1 Br 0.132 0.250 0.607 1
Br2 Br 0.333 0.750 0.354 1
Br3 Br 0.426 0.750 0.870 1
```

=====

Entry 2:
Computed, not measured: a geometry-optimized Sc2IrBr structure at the PBE-GGA level of DFT.

Excess energy over the best structure of this formula in the dataset in eV/atom: 0.516
Formation energy from raw total energies in eV per atom: -0.45

CIF file:
```
data_Sc2IrBr
_chemical_formula_sum 'Sc4 Ir2 Br2'
_symmetry_space_group_name_H-M 'I -4 m 2'
_symmetry_Int_Tables_number 119
_symmetry_space_group_name_Hall 'I -4 -2'
_cell_length_a 3.820
_cell_length_b 3.820
_cell_length_c 10.592
_cell_angle_alpha 90.00
_cell_angle_beta 90.00
_cell_angle_gamma 90.00
loop_
_atom_site_label
_atom_site_type_symbol
_atom_site_fract_x
_atom_site_fract_y
_atom_site_fract_z
_atom_site_occupancy
Sc1 Sc 0.000 0.000 0.000 1
Sc2 Sc 0.000 0.500 0.250 1
Ir1 Ir 0.000 0.000 0.500 1
Br1 Br 0.000 0.500 0.750 1
```

=====

Entry 3:
Computed, not measured: a geometry-optimized Sc2IrBr structure at the PBE-GGA level of DFT.

Excess energy over the best structure of this formula in the dataset in eV/atom: 0.000
Formation energy from raw total energies in eV per atom: -0.96

CIF file:
```
data_Sc2IrBr
_chemical_formula_sum 'Sc2 Ir1 Br1'
_symmetry_space_group_name_H-M 'P m m m'
_symmetry_Int_Tables_number 47
_symmetry_space_group_name_Hall '-P 2 2'
_cell_length_a 3.175
_cell_length_b 3.375
_cell_length_c 7.880
_cell_angle_alpha 90.00
_cell_angle_beta 90.00
_cell_angle_gamma 90.00
loop_
_atom_site_label
_atom_site_type_symbol
_atom_site_fract_x
_atom_site_fract_y
_atom_site_fract_z
_atom_site_occupancy
Sc1 Sc 0.000 0.000 0.201 1
Ir1 Ir 0.500 0.500 0.000 1
Br1 Br 0.500 0.000 0.500 1
```

=====

What N(E_F) values result from the calculations? In sequence: 5.92 4.00 1.86 states/eV per cell.
What magnetization values result from the calculations? In sequence: 0.000 0.000 0.000 Bohr magnetons per cell.
What DFT total energy values result from the calculations? In sequence: -6.0101 -6.2452 -6.7609 eV/atom.